# 1
Here is an optimized crystal structure of Tl2FePd2 from Alexandria. Energies are from PBE.

Calculated values
Offset from the most stable computed form (eV/f.u.): 1.32
Fermi-level density of states (states/eV/f.u.): 8.2
Crystal system: tetragonal
E_form (eV/atom): 0.440

Cell: 7.6885 7.6885 7.6885 Å, 151.44 151.44 40.82°
With the nearest neighbours (Å) after each atom.
Atoms (fractional coordinates):
Tl 0.1046 0.1046 0.0000  4 Pd 2.83, 1 Tl 3.02, 4 Fe 3.08
Tl 0.8954 0.8954 0.0000  4 Pd 2.83, 1 Tl 3.02, 4 Fe 3.08
Fe 0.5000 0.5000 0.0000  8 Tl 3.08
Pd 0.2500 0.7500 0.5000  4 Pd 2.68, 4 Tl 2.83
Pd 0.7500 0.2500 0.5000  4 Pd 2.68, 4 Tl 2.83

# 2
Here is an optimized crystal structure of Tb6PmTm from Alexandria. Energies are from PBE.

Calculated values
Offset from the most stable computed form (eV/f.u.): 0.00
Fermi-level density of states (states/eV/f.u.): 12.6
Crystal system: tetragonal
E_form (eV/atom): 0.021

Cell: 5.0423 5.0423 10.0647 Å, 90.00 90.00 90.00°
With the nearest neighbours (Å) after each atom.
Atoms (fractional coordinates):
Tb 0.0000 0.0000 0.0000  8 Tb 3.54, 4 Tm 3.57
Tb 0.0000 0.0000 0.5000  4 Pm 3.57, 8 Tb 3.58
Tb 0.0000 0.5000 0.2475  8 Tb 3.54-3.58, 2 Tm 3.54, 2 Pm 3.58
Tb 0.0000 0.5000 0.7525  8 Tb 3.54-3.58, 2 Tm 3.54, 2 Pm 3.58
Tb 0.5000 0.0000 0.2475  8 Tb 3.54-3.58, 2 Tm 3.54, 2 Pm 3.58
Tb 0.5000 0.0000 0.7525  8 Tb 3.54-3.58, 2 Tm 3.54, 2 Pm 3.58
Pm 0.5000 0.5000 0.5000  12 Tb 3.57-3.58
Tm 0.5000 0.5000 0.0000  12 Tb 3.54-3.57

# 3
Here is an optimized crystal structure of CaS4Cl from Alexandria. Energies are from PBE.

Calculated values
Energy relative to the elements, uncorrected (meV per atom): -717
Fermi-level density of states (states/eV/f.u.): 1.3
Crystal system: monoclinic

Cell: 14.8031 14.8031 5.3975 Å, 91.66 91.66 162.05°
With the nearest neighbours (Å) after each atom.
Atoms (fractional coordinates):
Ca 0.0635 0.9365 0.7500  2 Cl 2.71, 2 S 2.91
Ca 0.9365 0.0635 0.2500  2 Cl 2.71, 2 S 2.91
S 0.1612 0.7145 0.0667  1 S 1.95
S 0.2523 0.3150 0.7468  1 S 1.99
S 0.2855 0.8388 0.4333  1 S 1.95
S 0.3150 0.2523 0.2468  1 S 1.99
S 0.6850 0.7477 0.7532  1 S 1.99
S 0.7145 0.1612 0.5667  1 S 1.95
S 0.7477 0.6850 0.2532  1 S 1.99
S 0.8388 0.2855 0.9333  1 S 1.95
Cl 0.3878 0.6122 0.2500  2 Ca 2.71
Cl 0.6122 0.3878 0.7500  2 Ca 2.71

# 4
Here is an optimized crystal structure of CsLiY2O4 from Alexandria. Energies are from PBE.

Calculated values
Energy relative to the elements, uncorrected (meV per atom): -2766
Fermi-level density of states (states/eV/f.u.): 0.0
Crystal system: orthorhombic

Cell: 6.2425 6.2425 11.8420 Å, 90.00 90.00 147.16°
With the nearest neighbours (Å) after each atom.
Atoms (fractional coordinates):
Cs 0.0984 0.9016 0.7500  8 O 3.04-3.19, 3 Li 3.16-3.37
Cs 0.9016 0.0984 0.2500  8 O 3.04-3.19, 3 Li 3.16-3.37
Li 0.1827 0.8173 0.2500  4 O 1.98
Li 0.8173 0.1827 0.7500  4 O 1.98
Y 0.3640 0.6360 0.5581  6 O 2.26-2.50
Y 0.3640 0.6360 0.9419  6 O 2.26-2.50
Y 0.6360 0.3640 0.0581  6 O 2.26-2.50
Y 0.6360 0.3640 0.4419  6 O 2.26-2.50
O 0.0000 0.0000 0.0000  4 Y 2.50
O 0.0000 0.0000 0.5000  4 Y 2.50
O 0.2470 0.7530 0.0962  1 Li 1.98
O 0.2470 0.7530 0.4038  1 Li 1.98
O 0.3915 0.6085 0.7500  2 Li 1.98
O 0.6085 0.3915 0.2500  2 Li 1.98
O 0.7530 0.2470 0.5962  1 Li 1.98
O 0.7530 0.2470 0.9038  1 Li 1.98